[1]
A plane-wave DFT calculation with PBE was carried out for a relaxed GeMoH crystal.

Cell lengths 3.2290, 5.5244, 7.8496 Å; angles 90.00, 90.00, 90.00 degrees
Element x y z (fractional)
Ge: 0.7500 0.7504 0.5000
Ge: 0.2500 0.2504 0.0000
Ge: 0.7500 0.7496 0.0000
Ge: 0.2500 0.2496 0.5000
Mo: 0.2500 0.5807 0.7498
Mo: 0.2500 0.9193 0.2498
Mo: 0.7500 0.0807 0.7502
Mo: 0.7500 0.4193 0.2502
H: 0.7500 0.4166 0.7495
H: 0.2500 0.5834 0.2505
H: 0.2500 0.9166 0.7505
H: 0.7500 0.0834 0.2495

***

[2]
A plane-wave DFT calculation with PBE was carried out for a relaxed GeMoH crystal.

Cell lengths 3.2662, 4.7956, 8.7405 Å; angles 90.00, 90.00, 90.00 degrees
Element x y z (fractional)
H: 0.0000 0.0965 0.0251
H: 0.5000 0.4035 0.9749
H: 0.0000 0.5965 0.4749
H: 0.5000 0.9035 0.5251
Ge: 0.5000 0.3400 0.6344
Ge: 0.5000 0.8400 0.8656
Ge: 0.0000 0.1600 0.3656
Ge: 0.0000 0.6600 0.1344
Mo: 0.5000 0.6216 0.3693
Mo: 0.5000 0.1216 0.1307
Mo: 0.0000 0.8784 0.6307
Mo: 0.0000 0.3784 0.8693

***

[3]
A plane-wave DFT calculation with PBE was carried out for a relaxed Ge3MoH crystal.

Cell lengths 4.1726, 4.1726, 4.1726 Å; angles 90.00, 90.00, 90.00 degrees
Element x y z (fractional)
Ge: 0.5000 0.0000 0.0000
Ge: 0.0000 0.0000 0.5000
Ge: 0.0000 0.5000 0.0000
Mo: 0.5000 0.5000 0.5000
H: 0.0000 0.0000 0.0000

***

[4]
A plane-wave DFT calculation with PBE was carried out for a relaxed Nb2GeMoH crystal.

Cell lengths 4.1640, 4.1640, 3.9895 Å; angles 90.00, 90.00, 90.00 degrees
Element x y z (fractional)
Nb: 0.5000 0.0000 0.0000
Nb: 0.0000 0.5000 0.0000
Mo: 0.0000 0.0000 0.5000
Ge: 0.5000 0.5000 0.5000
H: 0.0000 0.0000 0.0000

***

[5]
A plane-wave DFT calculation with PBE was carried out for a relaxed NiGeMo2H crystal.

Cell lengths 3.9107, 3.9107, 3.9133 Å; angles 90.00, 90.00, 90.00 degrees
Element x y z (fractional)
Mo: 0.0000 0.5000 0.0000
Mo: 0.5000 0.0000 0.0000
Ge: 0.5000 0.5000 0.5000
H: 0.0000 0.0000 0.0000
Ni: 0.0000 0.0000 0.5000

***

[6]
A plane-wave DFT calculation with PBE was carried out for a relaxed GeMoH2Pt crystal.

Cell lengths 3.6052, 5.3775, 3.6052 Å; angles 90.00, 90.00, 90.00 degrees
Element x y z (fractional)
Mo: 0.0000 0.0000 0.0000
H: 0.5000 0.0000 0.0000
H: 0.0000 0.0000 0.5000
Pt: 0.0000 0.5000 0.0000
Ge: 0.5000 0.5000 0.5000

***

[7]
A plane-wave DFT calculation with PBE was carried out for a relaxed GeMoHRu2 crystal.

Cell lengths 3.9605, 3.9605, 3.8990 Å; angles 90.00, 90.00, 90.00 degrees
Element x y z (fractional)
Ru: 0.5000 0.0000 0.0000
Ru: 0.0000 0.5000 0.0000
Mo: 0.0000 0.0000 0.5000
Ge: 0.5000 0.5000 0.5000
H: 0.0000 0.0000 0.0000

***

[8]
A plane-wave DFT calculation with PBE was carried out for a relaxed ScGeMo2H crystal.

Cell lengths 4.6773, 5.0045, 4.6773 Å; angles 90.00, 90.00, 90.00 degrees
Element x y z (fractional)
Mo: 0.5000 0.0000 0.0000
Mo: 0.0000 0.0000 0.5000
Ge: 0.0000 0.5000 0.0000
Sc: 0.0000 0.0000 0.0000
H: 0.5000 0.5000 0.5000

***

[9]
A plane-wave DFT calculation with PBE was carried out for a relaxed SnGeMo2H crystal.

Cell lengths 5.1863, 3.4133, 5.1863 Å; angles 90.00, 90.00, 90.00 degrees
Element x y z (fractional)
Ge: 0.5000 0.5000 0.5000
Mo: 0.5000 0.0000 0.0000
Mo: 0.0000 0.0000 0.5000
Sn: 0.0000 0.0000 0.0000
H: 0.0000 0.5000 0.0000

***

[10]
A plane-wave DFT calculation with PBE was carried out for a relaxed Tc2GeMoH crystal.

Cell lengths 3.9727, 3.9727, 3.9318 Å; angles 90.00, 90.00, 90.00 degrees
Element x y z (fractional)
Ge: 0.5000 0.5000 0.5000
H: 0.0000 0.0000 0.0000
Tc: 0.5000 0.0000 0.0000
Tc: 0.0000 0.5000 0.0000
Mo: 0.0000 0.0000 0.5000

***

[11]
A plane-wave DFT calculation with PBE was carried out for a relaxed Ti2GeMoH crystal.

Cell lengths 4.1248, 4.1248, 3.7983 Å; angles 90.00, 90.00, 90.00 degrees
Element x y z (fractional)
Ti: 0.0000 0.5000 0.0000
Ti: 0.5000 0.0000 0.0000
H: 0.0000 0.0000 0.0000
Ge: 0.5000 0.5000 0.5000
Mo: 0.0000 0.0000 0.5000

***

[12]
A plane-wave DFT calculation with PBE was carried out for a relaxed TlGeMoH2 crystal.

Cell lengths 3.8716, 5.3686, 3.8716 Å; angles 90.00, 90.00, 90.00 degrees
Element x y z (fractional)
Tl: 0.5000 0.5000 0.5000
Mo: 0.0000 0.5000 0.0000
Ge: 0.0000 0.0000 0.0000
H: 0.0000 0.0000 0.5000
H: 0.5000 0.0000 0.0000

***

[13]
A plane-wave DFT calculation with PBE was carried out for a relaxed TlGeMoH2 crystal.

Cell lengths 3.8680, 5.7004, 3.8680 Å; angles 90.00, 90.00, 90.00 degrees
Element x y z (fractional)
H: 0.5000 0.0000 0.0000
H: 0.0000 0.0000 0.5000
Ge: 0.5000 0.5000 0.5000
Tl: 0.0000 0.5000 0.0000
Mo: 0.0000 0.0000 0.0000

***

[14]
A plane-wave DFT calculation with PBE was carried out for a relaxed GeHN3 crystal.

Cell lengths 3.8564, 3.8564, 3.8564 Å; angles 90.00, 90.00, 90.00 degrees
Element x y z (fractional)
N: 0.5000 0.0000 0.0000
N: 0.0000 0.5000 0.0000
N: 0.0000 0.0000 0.5000
Ge: 0.0000 0.0000 0.0000
H: 0.5000 0.5000 0.5000

***

[15]
A plane-wave DFT calculation with PBE was carried out for a relaxed GeHN3 crystal.

Cell lengths 3.3617, 3.3617, 3.3617 Å; angles 90.00, 90.00, 90.00 degrees
Element x y z (fractional)
H: 0.0000 0.0000 0.0000
N: 0.0000 0.5000 0.0000
N: 0.5000 0.0000 0.0000
N: 0.0000 0.0000 0.5000
Ge: 0.5000 0.5000 0.5000

***

[16]
A plane-wave DFT calculation with PBE was carried out for a relaxed GeHNO2 crystal.

Cell lengths 3.6780, 3.6780, 4.0270 Å; angles 90.00, 90.00, 90.00 degrees
Element x y z (fractional)
Ge: 0.0000 0.0000 0.0000
O: 0.5000 0.0000 0.0000
O: 0.0000 0.5000 0.0000
N: 0.0000 0.0000 0.5000
H: 0.5000 0.5000 0.5000

***

[17]
A plane-wave DFT calculation with PBE was carried out for a relaxed Ge7HN3O20 crystal.

Cell lengths 7.8878, 7.8878, 7.8878 Å; angles 90.00, 90.00, 90.00 degrees
Element x y z (fractional)
O: 0.6335 0.3665 0.8801
O: 0.8801 0.6335 0.3665
O: 0.6335 0.1199 0.6335
O: 0.6335 0.6335 0.1199
O: 0.3665 0.8801 0.6335
O: 0.8801 0.3665 0.6335
O: 0.7634 0.7634 0.7634
O: 0.6101 0.6101 0.6101
O: 0.1199 0.6335 0.6335
O: 0.2366 0.7634 0.2366
O: 0.2366 0.2366 0.7634
O: 0.3665 0.6335 0.8801
O: 0.3665 0.3665 0.1199
O: 0.1199 0.3665 0.3665
O: 0.6335 0.8801 0.3665
O: 0.6101 0.3899 0.3899
O: 0.3899 0.6101 0.3899
O: 0.3665 0.1199 0.3665
O: 0.7634 0.2366 0.2366
O: 0.3899 0.3899 0.6101
Ge: 0.3449 0.6551 0.6551
Ge: 0.0000 0.5000 0.5000
Ge: 0.6551 0.3449 0.6551
Ge: 0.5000 0.0000 0.5000
Ge: 0.6551 0.6551 0.3449
Ge: 0.3449 0.3449 0.3449
Ge: 0.5000 0.5000 0.0000
N: 0.0000 0.0000 0.5000
N: 0.0000 0.5000 0.0000
N: 0.5000 0.0000 0.0000
H: 0.5000 0.5000 0.5000

***

[18]
A plane-wave DFT calculation with PBE was carried out for a relaxed GeHN2O crystal.

Cell lengths 3.9848, 3.9848, 3.6306 Å; angles 90.00, 90.00, 90.00 degrees
Element x y z (fractional)
H: 0.5000 0.5000 0.5000
N: 0.5000 0.0000 0.0000
N: 0.0000 0.5000 0.0000
O: 0.0000 0.0000 0.5000
Ge: 0.0000 0.0000 0.0000

***

[19]
A plane-wave DFT calculation with PBE was carried out for a relaxed GeHN2O crystal.

Cell lengths 2.9356, 2.9356, 5.1650 Å; angles 90.00, 90.00, 90.00 degrees
Element x y z (fractional)
N: 0.5000 0.0000 0.0000
N: 0.0000 0.5000 0.0000
O: 0.0000 0.0000 0.5000
Ge: 0.5000 0.5000 0.5000
H: 0.0000 0.0000 0.0000

***

[20]
A plane-wave DFT calculation with PBE was carried out for a relaxed GeHNO2 crystal.

Cell lengths 3.9225, 3.9225, 2.6664 Å; angles 90.00, 90.00, 90.00 degrees
Element x y z (fractional)
H: 0.0000 0.0000 0.0000
N: 0.0000 0.0000 0.5000
O: 0.0000 0.5000 0.0000
O: 0.5000 0.0000 0.0000
Ge: 0.5000 0.5000 0.5000

***

[21]
A plane-wave DFT calculation with PBE was carried out for a relaxed Ge3P6H42N12O25 crystal.

Cell lengths 9.4598, 9.4598, 10.4455 Å; angles 99.69, 99.69, 109.61 degrees
Element x y z (fractional)
O: 0.3050 0.9711 0.3420
O: 0.6669 0.5032 0.1276
O: 0.8293 0.9990 0.8727
O: 0.0289 0.6950 0.6580
O: 0.1626 0.6654 0.8728
O: 0.0717 0.7379 0.1856
O: 0.9283 0.2621 0.8144
O: 0.5032 0.6669 0.1276
O: 0.3331 0.4968 0.8724
O: 0.1707 0.0010 0.1273
O: 0.3346 0.8374 0.1272
O: 0.5970 0.5970 0.8154
O: 0.9711 0.3050 0.3420
O: 0.6950 0.0289 0.6580
O: 0.0010 0.1707 0.1273
O: 0.2621 0.9283 0.8144
O: 0.3647 0.3647 0.6576
O: 0.6654 0.1626 0.8728
O: 0.6353 0.6353 0.3424
O: 0.0000 0.0000 0.5000
O: 0.4968 0.3331 0.8724
O: 0.8374 0.3346 0.1272
O: 0.9990 0.8293 0.8727
O: 0.7379 0.0717 0.1856
O: 0.4030 0.4030 0.1846
H: 0.5726 0.1283 0.1245
H: 0.5389 0.7613 0.8759
H: 0.7613 0.5389 0.8759
H: 0.4274 0.8717 0.8755
H: 0.2732 0.1627 0.3587
H: 0.6654 0.6654 0.6837
H: 0.4611 0.2387 0.1241
H: 0.7268 0.8373 0.6413
H: 0.0962 0.4300 0.9895
H: 0.1705 0.3872 0.6411
H: 0.9983 0.3272 0.6829
H: 0.5005 0.9384 0.3577
H: 0.0616 0.4995 0.6423
H: 0.0069 0.3361 0.5188
H: 0.2046 0.0938 0.8748
H: 0.0938 0.2046 0.8748
H: 0.7954 0.9062 0.1252
H: 0.3361 0.0069 0.5188
H: 0.4995 0.0616 0.6423
H: 0.9038 0.5700 0.0105
H: 0.8295 0.6128 0.3589
H: 0.3872 0.1705 0.6411
H: 0.6639 0.9931 0.4812
H: 0.9931 0.6639 0.4812
H: 0.6733 0.6733 0.5189
H: 0.8717 0.4274 0.8755
H: 0.7634 0.7634 0.9905
H: 0.5700 0.9038 0.0105
H: 0.4300 0.0962 0.9895
H: 0.2387 0.4611 0.1241
H: 0.9062 0.7954 0.1252
H: 0.8373 0.7268 0.6413
H: 0.3267 0.3267 0.4811
H: 0.3272 0.9983 0.6829
H: 0.0017 0.6728 0.3171
H: 0.2366 0.2366 0.0095
H: 0.9384 0.5005 0.3577
H: 0.1627 0.2732 0.3587
H: 0.6128 0.8295 0.3589
H: 0.3346 0.3346 0.3163
H: 0.1283 0.5726 0.1245
H: 0.6728 0.0017 0.3171
P: 0.7840 0.1175 0.8022
P: 0.2160 0.8825 0.1978
P: 0.8825 0.2160 0.1978
P: 0.4522 0.4522 0.8023
P: 0.5478 0.5478 0.1977
P: 0.1175 0.7840 0.8022
N: 0.7248 0.7248 0.6204
N: 0.2752 0.2752 0.3796
N: 0.6131 0.9415 0.3797
N: 0.5134 0.1800 0.0673
N: 0.8471 0.8471 0.0681
N: 0.8200 0.4866 0.9327
N: 0.1800 0.5134 0.0673
N: 0.9415 0.6131 0.3797
N: 0.4866 0.8200 0.9327
N: 0.0585 0.3869 0.6203
N: 0.1529 0.1529 0.9319
N: 0.3869 0.0585 0.6203
Ge: 0.0000 0.0000 0.0000
Ge: 0.6666 0.3334 0.0000
Ge: 0.3334 0.6666 0.0000

***

[22]
A plane-wave DFT calculation with PBE was carried out for a relaxed GeP2HN crystal.

Cell lengths 4.8498, 3.5949, 4.8498 Å; angles 90.00, 90.00, 90.00 degrees
Element x y z (fractional)
Ge: 0.0000 0.0000 0.0000
H: 0.5000 0.5000 0.5000
P: 0.5000 0.0000 0.0000
P: 0.0000 0.0000 0.5000
N: 0.0000 0.5000 0.0000

***

| no. | calculated total energy (eV/atom) |
| --- | --- |
| 1 | -6.15 |
| 2 | -6.25 |
| 3 | -4.99 |
| 4 | -7.94 |
| 5 | -7.01 |
| 6 | -5.20 |
| 7 | -7.32 |
| 8 | -4.94 |
| 9 | -5.34 |
| 10 | -7.74 |
| 11 | -7.29 |
| 12 | -4.06 |
| 13 | -4.10 |
| 14 | -4.33 |
| 15 | -4.21 |
| 16 | -4.53 |
| 17 | -5.16 |
| 18 | -4.49 |
| 19 | -4.57 |
| 20 | -4.28 |
| 21 | -5.72 |
| 22 | -3.74 |